The following is a DFT calculation (PBE) of an optimized crystal structure of AgPd4Pt.

a b c (Å): 4.5939 12.6120 7.4342
angles (deg): 90.00 90.00 90.00
Space group Cmcm (No. 63)
One atom of each set of equivalent atoms:
1 Ag 0.0000 0.1296 0.2500 x4
2 Pd 0.0000 0.0744 0.7500 x4
3 Pd 0.0000 0.2717 0.5777 x8
4 Pd 0.0000 0.5000 0.0000 x4
5 Pt 0.0000 0.3447 0.2500 x4

## Properties
energy = -4.625 eV per atom
ΔE to the lowest computed polymorph = 322 meV/atom
density of states at the Fermi level = 34.45 states/eV/cell
formation energy = 0.3187 eV/atom